VASP calculation (PBE-GGA) on an optimized crystal structure of Sc2FeHgB.

Values from the calculation:
**D(E_F)**: 3.18 states/eV/f.u.
**Calculated total energy**: -29.49 eV for the cell shown
**Space group**: P4/mmm (123)
**Total magnetization**: 0.5 μB per formula unit

Cell: 4.7295 4.7295 3.7946 Å, 90.00 90.00 90.00°
Last column: nearest neighbours and their distance in Å.
Positions (direct):
Sc1 0.0000 0.5000 0.0000  2 B 2.36
Sc2 0.5000 0.0000 0.0000  2 B 2.36
Fe1 0.0000 0.0000 0.5000  2 B 1.90
Hg1 0.5000 0.5000 0.5000  8 Sc 3.03, 4 Fe 3.34
B1 0.0000 0.0000 0.0000  2 Fe 1.90